# 1
LiBe2Se after structural relaxation, computed with GGA-PBE.

POSCAR file:
```
LiBe2Se
1.0
-3.459 -1.025 5.513
-5.737 -1.282 2.975
-3.725 -3.939 3.744
Be Se Li
2 1 1
Direct
0.014 0.014 0.014
0.486 0.486 0.486
0.750 0.750 0.750
0.250 0.250 0.250
```

Computed properties:
Crystal system: trigonal
Symmetry: R-3m (166)
Theoretical density (Mg/m³): 2.7
Formation energy from raw total energies (meV/atom): 354

---

# 2
ZnNiI2N after structural relaxation, computed with GGA-PBE.

POSCAR file:
```
ZnNiI2N
1.0
5.669 0.000 0.000
0.000 5.669 0.000
0.000 0.000 3.683
Ni Zn N I
1 1 1 2
Direct
0.500 0.500 0.500
0.000 0.000 0.000
0.000 0.000 0.500
0.500 0.000 0.000
0.000 0.500 0.000
```

Computed properties:
Crystal system: tetragonal
Symmetry: P4/mmm (123)
Theoretical density (Mg/m³): 5.5
Formation energy from raw total energies (meV/atom): 1118

---

# 3
VCrGeC after structural relaxation, computed with GGA-PBE.

POSCAR file:
```
VCrGeC
1.0
2.969 0.000 0.000
-1.484 2.571 0.000
0.000 0.000 12.165
Ge Cr V C
2 2 2 2
Direct
0.667 0.333 0.257
0.333 0.667 0.743
0.333 0.667 0.417
0.667 0.333 0.583
0.333 0.667 0.090
0.667 0.333 0.910
0.000 0.000 0.000
0.000 0.000 0.500
```

Computed properties:
Crystal system: trigonal
Symmetry: P-3m1 (164)
Theoretical density (Mg/m³): 6.7
VASP energy (eV/atom): -8.428

---

# 4
PmAl4Rh2 after structural relaxation, computed with GGA-PBE.

POSCAR file:
```
PmAl4Rh2
1.0
-0.739 4.239 -0.154
-1.313 -0.464 -6.448
-16.687 -2.779 3.599
Al Rh Pm
16 8 4
Direct
0.250 0.499 0.429
0.250 0.286 0.692
0.750 0.665 0.967
0.750 0.714 0.308
0.250 0.689 0.690
0.750 0.501 0.571
0.750 0.786 0.808
0.750 0.189 0.810
0.750 0.835 0.467
0.750 0.311 0.310
0.250 0.335 0.033
0.250 0.165 0.533
0.250 0.811 0.190
0.250 0.001 0.929
0.250 0.214 0.192
0.750 0.999 0.071
0.750 0.252 0.962
0.250 0.987 0.785
0.250 0.752 0.538
0.750 0.248 0.462
0.250 0.748 0.038
0.750 0.013 0.215
0.250 0.513 0.285
0.750 0.487 0.715
0.750 0.993 0.638
0.250 0.493 0.862
0.750 0.507 0.138
0.250 0.007 0.362
```

Computed properties:
Crystal system: orthorhombic
Symmetry: Pnma (62)
Theoretical density (Mg/m³): 6.2
VASP energy (eV/atom): -5.691

---

# 5
SrLaZn2Ir after structural relaxation, computed with GGA-PBE.

POSCAR file:
```
SrLaZn2Ir
1.0
-2.376 -1.283 4.339
2.343 -4.541 -0.060
3.980 2.016 2.775
Zn Sr Ir La
2 1 1 1
Direct
0.000 0.500 0.000
0.500 0.000 0.000
0.500 0.500 0.500
0.000 0.000 0.000
0.000 0.000 0.500
```

Computed properties:
Crystal system: tetragonal
Symmetry: P4/mmm (123)
Theoretical density (Mg/m³): 6.7
VASP energy (eV/atom): -3.856

---

# 6
Sr2ZrTl after structural relaxation, computed with GGA-PBE.

POSCAR file:
```
Sr2ZrTl
1.0
9.216 0.000 0.000
0.000 9.216 0.000
4.608 4.608 3.316
Sr Tl Zr
4 2 2
Direct
0.375 0.352 0.750
0.875 0.898 0.750
0.102 0.625 0.250
0.648 0.125 0.250
0.750 0.250 0.500
0.000 0.000 0.000
0.500 0.500 0.000
0.250 0.750 0.500
```

Computed properties:
Crystal system: tetragonal
Symmetry: I-42d (122)
Theoretical density (Mg/m³): 5.6
VASP energy (eV/atom): -3.083